ThBiPt4 after structural relaxation, computed with PBE.

## Properties
N(E_F) (states/eV/f.u.): 5.72
Total moment (μB per cell): 0.00
Total DFT energy (no corrections) (Ry per atom): -0.4862
ΔE_f (eV/atom): -0.70

Unit cell a=5.5173 b=5.5173 c=5.5173 alpha=60.00 beta=60.00 gamma=60.00
Fractional coordinates of all 6 atoms:
1 Pt 0.6250 0.6250 0.1249
2 Pt 0.6250 0.1249 0.6250
3 Pt 0.6250 0.6250 0.6250
4 Pt 0.1249 0.6250 0.6250
5 Bi 0.0000 0.0000 0.0000
6 Th 0.2500 0.2500 0.2500